# NaPb2I6, optimized geometry, DFT PBE-GGA
# spin magnetization = 0.00 μB per formula unit
# formation energy from raw total energies = -5.46 eV per formula unit
data_NaPb2I6
_chemical_formula_sum 'Na2 Pb4 I12'
_cell_length_a 7.513
_cell_length_b 7.513
_cell_length_c 14.481
_cell_angle_alpha 90.00
_cell_angle_beta 90.00
_cell_angle_gamma 90.00
_space_group_name_H-M_alt 'P 42/m n m'
_space_group_IT_number 136
_space_group_name_Hall '-P 4n 2n'
loop_
_atom_site_label
_atom_site_type_symbol
_atom_site_fract_x
_atom_site_fract_y
_atom_site_fract_z
Na1 Na 0.000 0.000 0.000
Pb1 Pb 0.000 0.000 0.334
I1 I 0.197 0.197 0.500
I2 I 0.199 0.199 0.169

---

# Na6PbI8, optimized geometry, DFT PBE-GGA
# spin magnetization = 0.00 μB per formula unit
# formation energy from raw total energies = -17.06 eV per formula unit
data_Na6PbI8
_chemical_formula_sum 'Na24 Pb4 I32'
_cell_length_a 13.093
_cell_length_b 13.093
_cell_length_c 13.093
_cell_angle_alpha 90.00
_cell_angle_beta 90.00
_cell_angle_gamma 90.00
_space_group_name_H-M_alt 'F m -3 m'
_space_group_IT_number 225
_space_group_name_Hall '-F 4 2 3'
loop_
_atom_site_label
_atom_site_type_symbol
_atom_site_fract_x
_atom_site_fract_y
_atom_site_fract_z
Na1 Na 0.000 0.250 0.250
Pb1 Pb 0.000 0.000 0.000
I1 I 0.000 0.000 0.249
I2 I 0.250 0.250 0.250

---

# Na2PbI4, optimized geometry, DFT PBE-GGA
# spin magnetization = 0.00 μB per formula unit
# formation energy from raw total energies = -5.75 eV per formula unit
# energy relative to the lowest polymorph listed for this composition = 176 meV/atom
data_Na2PbI4
_chemical_formula_sum 'Na4 Pb2 I8'
_cell_length_a 6.340
_cell_length_b 6.340
_cell_length_c 16.524
_cell_angle_alpha 90.00
_cell_angle_beta 90.00
_cell_angle_gamma 90.00
_space_group_name_H-M_alt 'I 4/m m m'
_space_group_IT_number 139
_space_group_name_Hall '-I 4 2'
loop_
_atom_site_label
_atom_site_type_symbol
_atom_site_fract_x
_atom_site_fract_y
_atom_site_fract_z
Na1 Na 0.000 0.000 0.130
Pb1 Pb 0.000 0.000 0.500
I1 I 0.000 0.000 0.309
I2 I 0.000 0.500 0.000

---

# NaPbI2, optimized geometry, DFT PBE-GGA
# spin magnetization = 0.00 μB per formula unit
# formation energy from raw total energies = -2.09 eV per formula unit
# energy relative to the lowest polymorph listed for this composition = 0 meV/atom
data_NaPbI2
_chemical_formula_sum 'Na4 Pb4 I8'
_cell_length_a 8.184
_cell_length_b 8.184
_cell_length_c 8.184
_cell_angle_alpha 90.00
_cell_angle_beta 90.00
_cell_angle_gamma 90.00
_space_group_name_H-M_alt 'F m -3 m'
_space_group_IT_number 225
_space_group_name_Hall '-F 4 2 3'
loop_
_atom_site_label
_atom_site_type_symbol
_atom_site_fract_x
_atom_site_fract_y
_atom_site_fract_z
Na1 Na 0.000 0.000 0.000
Pb1 Pb 0.000 0.000 0.500
I1 I 0.250 0.250 0.250

---

- Which of these has the lowest formation energy from raw total energies?
  Na6PbI8